Entry from Alexandria: a relaxed structure of Ca3Zn2Ag5 (PBE-GGA).

The structure in POSCAR format:
```
Ca3Zn2Ag5
1.0
4.1145 0.0000 0.0000
0.0000 10.3467 0.0000
0.0000 0.0000 10.3467
Ca Zn Ag
6 4 10
Direct
0.0000 0.3250 0.8250
0.0000 0.6750 0.1750
0.0000 0.1750 0.3250
0.0000 0.8250 0.6750
0.0000 0.0000 0.0000
0.0000 0.5000 0.5000
0.0000 0.1208 0.6208
0.0000 0.8792 0.3792
0.0000 0.3792 0.1208
0.0000 0.6208 0.8792
0.5000 0.2156 0.0663
0.5000 0.7844 0.9337
0.5000 0.9337 0.2156
0.5000 0.0663 0.7844
0.5000 0.2844 0.5663
0.5000 0.7156 0.4337
0.5000 0.5663 0.7156
0.5000 0.4337 0.2844
0.5000 0.0000 0.5000
0.5000 0.5000 0.0000
```

Results
* density of states at the Fermi level: 0.445 states/eV/atom
* energy relative to the elements: -254 meV per atom
* space-group type: P4/mbm, No. 127
* spin magnetization: 0.00 μB/cell
* final energy: -50.70 eV/cell